# GGA-PBE NbAuN2F, optimized geometry
data_NbAuN2F
_cell_length_a 4.1116
_cell_length_b 4.1116
_cell_length_c 4.0941
_cell_angle_alpha 90.00
_cell_angle_beta 90.00
_cell_angle_gamma 90.00
_space_group_name_H-M_alt 'P 4/m m m'
_space_group_IT_number 123
_space_group_name_Hall '-P 4 2'
loop_
_atom_site_label
_atom_site_type_symbol
_atom_site_fract_x
_atom_site_fract_y
_atom_site_fract_z
Nb1 Nb 0.0000 0.0000 0.0000
Au1 Au 0.5000 0.5000 0.5000
N1 N 0.0000 0.5000 0.0000
F1 F 0.0000 0.0000 0.5000
# Raw formation energy = -0.100 eV/atom
# ΔE to the lowest computed polymorph = 0.000 eV/atom
# Volume = 69.2 Å³/f.u.